The following is a DFT calculation (GGA-PBE) of an optimized crystal structure of Th2TiMnN5.

Values from the calculation:
DFT total energy, eV/cell: -169.279
Crystal system: orthorhombic
Theoretical density, Mg/m³: 9.2

POSCAR file:
```
Th2TiMnN5
1.0
1.677 -6.892 0.000
1.677 6.892 0.000
0.000 0.000 9.935
Th Ti Mn N
4 2 2 10
direct
0.122 0.878 0.500
0.133 0.867 0.128
0.867 0.133 0.628
0.878 0.122 0.000
0.202 0.798 0.824
0.798 0.202 0.324
0.445 0.555 0.266
0.555 0.445 0.766
0.040 0.960 0.835
0.298 0.702 0.472
0.316 0.684 0.185
0.343 0.657 0.816
0.498 0.502 0.097
0.502 0.498 0.597
0.657 0.343 0.316
0.684 0.316 0.685
0.702 0.298 0.972
0.960 0.040 0.335
```

The following is a DFT calculation (GGA-PBE) of an optimized crystal structure of Th2TiMn2N6.

Values from the calculation:
DFT total energy, eV/cell: -99.791
Crystal system: trigonal
Theoretical density, Mg/m³: 8.2

POSCAR file:
```
Th2TiMn2N6
1.0
2.843 1.642 5.125
-2.843 1.642 5.125
0.000 -3.283 5.125
Th Ti Mn N
2 1 2 6
direct
0.217 0.217 0.217
0.783 0.783 0.783
0.000 0.000 0.000
0.437 0.437 0.437
0.563 0.563 0.563
0.227 0.757 0.757
0.243 0.243 0.773
0.243 0.773 0.243
0.757 0.227 0.757
0.757 0.757 0.227
0.773 0.243 0.243
```

> Which of these has the highest DFT total energy?

Th2TiMn2N6

> Among the records above, which one has the lowest theoretical density?

Th2TiMn2N6